No. 1
# PrNdBi2 (PBE, relaxed)
# Relative energy among the computed polymorphs ... 113 meV/atom
# Total energy ... -5.171 eV per atom
# SG ... No. 160
# Magnetization ... 0.000 μB/cell
# Crystal system ... trigonal
# Calculated formation energy ... -843 meV/atom
data_PrNdBi2
_cell_length_a 4.5853
_cell_length_b 4.5853
_cell_length_c 8.3073
_cell_angle_alpha 73.98
_cell_angle_beta 73.98
_cell_angle_gamma 60.00
_space_group_name_H-M_alt 'P 1'
_space_group_IT_number 1
loop_
_space_group_symop_operation_xyz
'x,y,z'
loop_
_atom_site_label
_atom_site_type_symbol
_atom_site_fract_x
_atom_site_fract_y
_atom_site_fract_z
Bi1 Bi 0.0827 0.0827 0.7518
Nd1 Nd 0.4977 0.4977 0.5068
Bi2 Bi 0.2506 0.2506 0.2482
Pr1 Pr 0.6689 0.6689 0.9932

---

No. 2
# Pr2Nd5Bi4 (PBE, relaxed)
# Total energy ... -4.676 eV per atom
# SG ... No. 12
# Magnetization ... 0.000 μB/cell
# Crystal system ... monoclinic
# Calculated formation energy ... -228 meV/atom
data_Pr2Nd5Bi4
_cell_length_a 3.5793
_cell_length_b 8.4954
_cell_length_c 15.2827
_cell_angle_alpha 122.02
_cell_angle_beta 96.72
_cell_angle_gamma 90.00
_space_group_name_H-M_alt 'P 1'
_space_group_IT_number 1
loop_
_space_group_symop_operation_xyz
'x,y,z'
loop_
_atom_site_label
_atom_site_type_symbol
_atom_site_fract_x
_atom_site_fract_y
_atom_site_fract_z
Nd1 Nd 0.5000 0.0000 0.0000
Nd2 Nd 0.1400 0.2245 0.2800
Bi1 Bi 0.9505 0.2110 0.9011
Nd3 Nd 0.1676 0.8402 0.3353
Pr1 Pr 0.7344 0.6511 0.4688
Pr2 Pr 0.2656 0.3489 0.5312
Bi2 Bi 0.5993 0.4516 0.1986
Bi3 Bi 0.4007 0.5484 0.8014
Nd4 Nd 0.8324 0.1598 0.6647
Bi4 Bi 0.0495 0.7890 0.0989
Nd5 Nd 0.8600 0.7755 0.7200